No. 1
# PBE SmCSe, optimized geometry
data_SmCSe
_cell_length_a 5.623
_cell_length_b 5.623
_cell_length_c 8.030
_cell_angle_alpha 111.96
_cell_angle_beta 111.96
_cell_angle_gamma 39.38
_symmetry_space_group_name_H-M 'P 1'
_symmetry_Int_Tables_number 1
_symmetry_space_group_name_Hall 'P 1'
loop_
_atom_site_label
_atom_site_type_symbol
_atom_site_fract_x
_atom_site_fract_y
_atom_site_fract_z
_atom_site_occupancy
Sm1 Sm 0.043 0.043 0.304 1
Sm2 Sm 0.957 0.957 0.696 1
C1 C 0.479 0.479 0.915 1
C2 C 0.521 0.521 0.085 1
Se1 Se 0.336 0.336 0.367 1
Se2 Se 0.664 0.664 0.633 1
# - energy relative to the elements, uncorrected (eV per atom) = -0.810
# - ρ (g/cm³) = 5.42
# - spin magnetization (μB per formula unit) = 0.000
# - V (Å³/atom) = 24.64

No. 2
# PBE Hf2PaHg, optimized geometry
data_Hf2PaHg
_cell_length_a 4.663
_cell_length_b 4.663
_cell_length_c 4.130
_cell_angle_alpha 90.00
_cell_angle_beta 90.00
_cell_angle_gamma 90.00
_symmetry_space_group_name_H-M 'P 1'
_symmetry_Int_Tables_number 1
_symmetry_space_group_name_Hall 'P 1'
loop_
_atom_site_label
_atom_site_type_symbol
_atom_site_fract_x
_atom_site_fract_y
_atom_site_fract_z
_atom_site_occupancy
Hf1 Hf 0.000 0.500 0.000 1
Hf2 Hf 0.500 0.000 0.000 1
Pa1 Pa 0.000 0.000 0.500 1
Hg1 Hg 0.500 0.500 0.500 1
# - polymorph energy (0 for the lowest one) (eV/atom) = 0.101
# - ρ (g/cm³) = 14.58
# - spin magnetization (μB per formula unit) = 0.000
# - V (Å³/atom) = 22.45

No. 3
# PBE CaBeMo, optimized geometry
data_CaBeMo
_cell_length_a 5.867
_cell_length_b 5.867
_cell_length_c 5.867
_cell_angle_alpha 151.83
_cell_angle_beta 145.26
_cell_angle_gamma 45.31
_symmetry_space_group_name_H-M 'P 1'
_symmetry_Int_Tables_number 1
_symmetry_space_group_name_Hall 'P 1'
loop_
_atom_site_label
_atom_site_type_symbol
_atom_site_fract_x
_atom_site_fract_y
_atom_site_fract_z
_atom_site_occupancy
Ca1 Ca 0.000 0.000 0.000 1
Be1 Be 0.298 0.298 0.000 1
Mo1 Mo 0.715 0.715 0.000 1
# - polymorph energy (0 for the lowest one) (eV/atom) = 0.000
# - ρ (g/cm³) = 4.45
# - spin magnetization (μB per formula unit) = 0.000
# - V (Å³/atom) = 18.06

No. 4
# PBE ThInFe, optimized geometry
data_ThInFe
_cell_length_a 8.743
_cell_length_b 8.743
_cell_length_c 4.150
_cell_angle_alpha 90.00
_cell_angle_beta 90.00
_cell_angle_gamma 154.32
_symmetry_space_group_name_H-M 'P 1'
_symmetry_Int_Tables_number 1
_symmetry_space_group_name_Hall 'P 1'
loop_
_atom_site_label
_atom_site_type_symbol
_atom_site_fract_x
_atom_site_fract_y
_atom_site_fract_z
_atom_site_occupancy
Th1 Th 0.089 0.911 0.750 1
Th2 Th 0.911 0.089 0.250 1
In1 In 0.293 0.707 0.750 1
In2 In 0.707 0.293 0.250 1
Fe1 Fe 0.458 0.542 0.750 1
Fe2 Fe 0.542 0.458 0.250 1
# - ρ (g/cm³) = 9.73
# - spin magnetization (μB per formula unit) = 1.244
# - V (Å³/atom) = 22.91

Calculated values (eV/cell) of E for the records, taken in order: -39.7 -29.4 -15.0 -38.3.